A plane-wave DFT calculation with PBE was carried out for crystalline Mg2TlNi at its relaxed geometry.

```
Mg2TlNi
1.0
-2.870 2.461 -2.511
-4.276 -1.403 -0.590
-3.612 2.589 2.564
Tl Ni Mg
1 1 2
direct
0.493 0.493 0.522 Tl
0.698 0.698 0.905 Ni
0.272 0.272 0.185 Mg
0.037 0.037 0.888 Mg
```

DFT formation energy: 0.0600 eV per atom
VASP energy: -2.774 eV/atom
Total moment: 0.000 μB per atom

=====

A plane-wave DFT calculation with PBE was carried out for crystalline Pa12Sb6Os at its relaxed geometry.

```
Pa12Sb6Os
1.0
-3.862 3.454 5.925
5.756 -3.005 4.450
3.976 6.425 -2.207
Pa Sb Os
12 6 1
direct
0.197 0.452 0.542 Pa
0.803 0.548 0.458 Pa
0.542 0.197 0.452 Pa
0.548 0.458 0.803 Pa
0.043 0.134 0.365 Pa
0.458 0.803 0.548 Pa
0.452 0.542 0.197 Pa
0.635 0.957 0.866 Pa
0.866 0.635 0.957 Pa
0.957 0.866 0.635 Pa
0.134 0.365 0.043 Pa
0.365 0.043 0.134 Pa
0.872 0.267 0.709 Sb
0.128 0.733 0.291 Sb
0.291 0.128 0.733 Sb
0.709 0.872 0.267 Sb
0.733 0.291 0.128 Sb
0.267 0.709 0.872 Sb
0.000 0.000 0.000 Os
```

Formation energy (no corrections): -0.14 eV/atom
VASP energy: -8.027 eV/atom
Total moment: 0.001 μB per atom

=====

A plane-wave DFT calculation with PBE was carried out for crystalline LaGeSb2I at its relaxed geometry.

```
LaGeSb2I
1.0
6.144 0.000 0.000
0.000 6.144 0.000
0.000 0.000 6.014
Sb Ge La I
2 1 1 1
direct
0.500 0.000 0.000 Sb
0.000 0.500 0.000 Sb
0.500 0.500 0.500 Ge
0.000 0.000 0.000 La
0.000 0.000 0.500 I
```

Formation energy (no corrections): 0.45 eV/atom
VASP energy: -3.422 eV/atom
Energy above the most stable polymorph in this dataset: 0.5668 eV/atom
Total moment: 0.000 μB per atom